Computed, not measured: NaSr3B after structural relaxation at the GGA-PBE level of DFT.

abc: 6.3262 6.3262 6.3262
angles: 90.00 90.00 90.00
Closest atoms and distances in Å follow each position.
Space group Pm-3m (No. 221)
Inequivalent atoms, fractional coordinates:
1 Na 0.0000 0.0000 0.0000 (multiplicity 1)  6 Sr 3.16
2 Sr 0.0000 0.0000 0.5000 (multiplicity 3)  2 Na 3.16
3 B 0.5000 0.5000 0.5000 (multiplicity 1)  12 Sr 4.47

calculated volume: 253.2 Å³/cell
formation enthalpy at 0 K: 1.329 eV/atom